First-principles (PBE with a Hubbard U) data for a relaxed AcFeO3 crystal, as listed in Alexandria via LeMat-Bulk.

Final energy   -0.2717 hartree per atom

Cell and atoms, written as CIF:
```
data_AcFeO3
_cell_length_a 4.014
_cell_length_b 4.014
_cell_length_c 4.014
_cell_angle_alpha 90.00
_cell_angle_beta 90.00
_cell_angle_gamma 90.00
_space_group_name_H-M_alt 'P m -3 m'
_space_group_IT_number 221
_space_group_name_Hall '-P 4 2 3'
loop_
_atom_site_label
_atom_site_fract_x
_atom_site_fract_y
_atom_site_fract_z
Ac1 0.000 0.000 0.000
Fe1 0.500 0.500 0.500
O1 0.000 0.500 0.500
```